DFT (PBE) results for crystalline CsBa4H8 at its relaxed geometry.

Unit cell a=6.5999 b=6.5999 c=6.5999 alpha=90.00 beta=90.00 gamma=90.00
Closest atoms and distances in Å follow each position.
Fractional positions:
H 0.7457 0.2543 0.2543  1 Cs 2.81, 4 Ba 2.84-2.91
H 0.2543 0.2543 0.2543  1 Cs 2.81, 4 Ba 2.84-2.91
H 0.2543 0.7457 0.7457  1 Cs 2.81, 4 Ba 2.84-2.91
Cs 0.5000 0.5000 0.5000  8 H 2.81
Ba 0.0000 0.0000 0.0000  8 H 2.91
H 0.7457 0.7457 0.2543  1 Cs 2.81, 4 Ba 2.84-2.91
H 0.7457 0.7457 0.7457  1 Cs 2.81, 4 Ba 2.84-2.91
Ba 0.5000 0.0000 0.5000  8 H 2.84
H 0.2543 0.7457 0.2543  1 Cs 2.81, 4 Ba 2.84-2.91
H 0.2543 0.2543 0.7457  1 Cs 2.81, 4 Ba 2.84-2.91
Ba 0.0000 0.5000 0.5000  8 H 2.84
H 0.7457 0.2543 0.7457  1 Cs 2.81, 4 Ba 2.84-2.91
Ba 0.5000 0.5000 0.0000  8 H 2.84

- symmetry = Pm-3m (221)
- calculated total energy (eV per atom) = -2.99
- density of states at the Fermi level (states/eV/cell) = 2.89